*i*
An optimized crystal structure of CaMoSe2Br, computed with GGA-PBE.

Cell: 4.9292 4.9292 5.3809 Å, 90.00 90.00 90.00°
Last column: nearest neighbours and their distance in Å.
Space group P4/mmm (No. 123)
Unique sites:
Ca 0.0000 0.0000 0.0000 [1 per cell]  4 Br 3.49, 8 Se 3.65
Mo 0.5000 0.5000 0.5000 [1 per cell]  4 Se 2.46, 2 Br 2.69
Se 0.0000 0.5000 0.5000 [2 per cell]  2 Mo 2.46
Br 0.5000 0.5000 0.0000 [1 per cell]  2 Mo 2.69

*ii*
An optimized crystal structure of CaMoSe2Br, computed with GGA-PBE.

Cell: 5.5130 5.5130 5.3267 Å, 90.00 90.00 90.00°
Last column: nearest neighbours and their distance in Å.
Space group P4/mmm (No. 123)
Unique sites:
Ca 0.0000 0.0000 0.0000 [1 per cell]  2 Br 2.66, 4 Se 2.76
Mo 0.5000 0.5000 0.5000 [1 per cell]  8 Se 3.83, 4 Br 3.90
Se 0.0000 0.5000 0.0000 [2 per cell]  2 Ca 2.76
Br 0.0000 0.0000 0.5000 [1 per cell]  2 Ca 2.66

Most stable one: *i*, least stable one: *ii*.

*i*
An optimized crystal structure of CaBr3N, computed with GGA-PBE.

Cell: 4.8256 4.8256 4.8256 Å, 90.00 90.00 90.00°
Last column: nearest neighbours and their distance in Å.
Space group Pm-3m (No. 221)
Unique sites:
Ca 0.0000 0.0000 0.0000 [1 per cell]  12 Br 3.41
Br 0.0000 0.5000 0.5000 [3 per cell]  2 N 2.41
N 0.5000 0.5000 0.5000 [1 per cell]  6 Br 2.41

*ii*
An optimized crystal structure of CaBr3N, computed with GGA-PBE.

Cell: 9.2136 7.7141 10.3909 Å, 90.00 95.69 90.00°
Last column: nearest neighbours and their distance in Å.
Space group C2/m (No. 12)
Unique sites:
Ca 0.0000 0.2502 0.0000 [4 per cell]  4 Br 2.89
Br 0.0632 0.0000 0.8056 [4 per cell]  2 Ca 2.89, 2 Br 3.04-3.15
Br 0.1070 0.5000 0.1945 [4 per cell]  2 Ca 2.89, 2 Br 3.04-3.14
Br 0.2341 0.5000 0.8627 [4 per cell]  2 Br 3.14-3.15, 4 Ca 3.32-3.33
N 0.2197 0.0000 0.4757 [4 per cell]  4 Br 3.58-3.85, 2 N 3.92

*iii*
An optimized crystal structure of CaBr3N, computed with GGA-PBE.

Cell: 5.7437 5.7437 5.7437 Å, 90.00 90.00 90.00°
Last column: nearest neighbours and their distance in Å.
Space group Pm-3m (No. 221)
Unique sites:
Ca 0.0000 0.0000 0.0000 [1 per cell]  6 Br 2.87
Br 0.0000 0.0000 0.5000 [3 per cell]  2 Ca 2.87
N 0.5000 0.5000 0.5000 [1 per cell]  12 Br 4.06

Most stable one: *i*, least stable one: *iii*.

*i*
An optimized crystal structure of Ca3BrN, computed with GGA-PBE.

Cell: 4.9815 4.9815 4.9815 Å, 90.00 90.00 90.00°
Last column: nearest neighbours and their distance in Å.
Space group Pm-3m (No. 221)
Unique sites:
Ca 0.0000 0.0000 0.5000 [3 per cell]  2 N 2.49
Br 0.5000 0.5000 0.5000 [1 per cell]  12 Ca 3.52
N 0.0000 0.0000 0.0000 [1 per cell]  6 Ca 2.49

*ii*
An optimized crystal structure of Ca3BrN, computed with GGA-PBE.

Cell: 3.8932 9.5864 7.7149 Å, 90.00 104.57 90.00°
Last column: nearest neighbours and their distance in Å.
Space group P2_1/m (No. 11)
Unique sites:
Ca 0.0357 0.2500 0.0719 [2 per cell]  2 N 2.46
Ca 0.4001 0.0415 0.8001 [4 per cell]  2 N 2.48-2.49
Br 0.2382 0.2500 0.4861 [2 per cell]  3 Ca 3.08-3.09
N 0.0000 0.0000 0.0000 [2 per cell]  6 Ca 2.46-2.49

Most stable one: *ii*, least stable one: *i*.